No. 1
Entry from Alexandria via LeMat-Bulk: a relaxed Ba2SnPb2 crystal (PBEsol).

```
Ba2SnPb2
1.0
8.220 0.000 0.000
0.000 8.220 0.000
0.000 0.000 5.315
Ba Sn Pb
4 2 4
direct
0.172 0.328 0.000 Ba
0.328 0.828 0.000 Ba
0.672 0.172 0.000 Ba
0.828 0.672 0.000 Ba
0.000 0.000 0.500 Sn
0.500 0.500 0.500 Sn
0.133 0.633 0.500 Pb
0.367 0.133 0.500 Pb
0.633 0.867 0.500 Pb
0.867 0.367 0.500 Pb
```

Results
* symmetry: No. 127
* formation energy: -521 meV per atom
* density: 7.47 g cm⁻³
* crystal system: tetragonal



No. 2
Entry from Alexandria via LeMat-Bulk: a relaxed Ba2SnTePb crystal (PBEsol).

```
Ba2SnTePb
1.0
6.578 0.000 0.000
0.000 6.578 0.000
0.000 0.000 5.437
Ba Sn Te Pb
2 1 1 1
direct
0.000 0.500 0.000 Ba
0.500 0.000 0.000 Ba
0.000 0.000 0.500 Sn
0.500 0.500 0.500 Te
0.000 0.000 0.000 Pb
```

Results
* symmetry: No. 123
* density: 5.14 g cm⁻³
* crystal system: tetragonal
* ΔE_f (raw): -1.59 eV per formula unit



Question: Which value of density does entry 2 give?
Answer: 5.14 g cm⁻³